Below is a relaxed TaHgRh2 crystal, with properties calculated at the PBE-GGA level.

mass density = 14.6 g/cm³
total moment = 0.01 μB/atom
energy relative to the elements = 0.075 eV per atom
final energy = -6.6392 eV/atom

Lattice parameters (Å, degrees): 2.8799 2.8799 8.0441 90.00 90.00 90.00
Closest atoms and distances in Å follow each position.
Sites, in units of the cell vectors:
Rh 0.0000 0.0000 0.0140  8 Rh 2.78-2.88, 4 Hg 2.88
Ta 0.0000 0.0000 0.4764  4 Rh 2.74, 4 Ta 2.88, 4 Hg 3.06
Hg 0.5000 0.5000 0.7609  4 Rh 2.88, 4 Hg 2.88, 4 Ta 3.06
Rh 0.5000 0.5000 0.2487  4 Ta 2.74, 8 Rh 2.78-2.88

***

Below is a relaxed Ba3Be2RuO6 crystal, with properties calculated at the PBE-GGA level.

mass density = 5.4 g/cm³
total moment = 0.00 μB/atom
final energy = -6.4459 eV/atom

Lattice parameters (Å, degrees): 5.6518 5.6518 6.9126 90.00 90.00 120.00
Closest atoms and distances in Å follow each position.
Sites, in units of the cell vectors:
O 0.6483 0.8241 0.2979  1 Be 1.55
Be 0.6667 0.3333 0.7233  3 O 1.55
Ba 0.6667 0.3333 0.3308  1 Be 2.71, 9 O 2.84-2.99
O 0.8241 0.6483 0.7021  1 Be 1.55
Be 0.3333 0.6667 0.2767  3 O 1.55
O 0.1759 0.3517 0.2979  1 Be 1.55
Ba 0.0000 0.0000 0.0000  6 O 2.68
O 0.8241 0.1759 0.7021  1 Be 1.55
Ba 0.3333 0.6667 0.6692  1 Be 2.71, 9 O 2.84-2.99
O 0.1759 0.8241 0.2979  1 Be 1.55
Ru 0.0000 0.0000 0.5000  6 O 2.22
O 0.3517 0.1759 0.7021  1 Be 1.55

***

Below is a relaxed KTm2Au2O6 crystal, with properties calculated at the PBE-GGA level.

mass density = 7.4 g/cm³
total moment = 0.08 μB/atom
final energy = -5.9344 eV/atom

Lattice parameters (Å, degrees): 6.0917 7.1634 6.9199 126.10 100.01 55.41
Closest atoms and distances in Å follow each position.
Sites, in units of the cell vectors:
O 0.9070 0.1393 0.4116  1 Au 2.01, 1 Tm 2.24
Tm 0.1785 0.6630 0.1820  6 O 2.19-2.33
Tm 0.8215 0.3370 0.8180  6 O 2.19-2.33
O 0.9412 0.5174 0.1733  1 Au 2.02, 2 Tm 2.19-2.23
Au 0.9019 0.3585 0.3169  3 O 2.01-2.11
K 0.5000 0.0000 0.5000  2 O 2.58
O 0.6273 0.3433 0.0849  1 Au 2.11, 2 Tm 2.21-2.33
Au 0.0981 0.6415 0.6831  3 O 2.01-2.11
O 0.3727 0.6567 0.9151  1 Au 2.11, 2 Tm 2.21-2.33
O 0.0930 0.8607 0.5884  1 Au 2.01, 1 Tm 2.24
O 0.0588 0.4826 0.8267  1 Au 2.02, 2 Tm 2.19-2.23

***

Below is a relaxed SrAc3Pd crystal, with properties calculated at the PBE-GGA level.

mass density = 6.5 g/cm³
total moment = 0.25 μB/atom
energy relative to the elements = -0.205 eV per atom
final energy = -4.0452 eV/atom
energy above the most stable polymorph in this dataset = 0.030 eV per atom

Lattice parameters (Å, degrees): 6.0742 6.0742 6.0742 90.00 90.00 90.00
Closest atoms and distances in Å follow each position.
Sites, in units of the cell vectors:
Ac 0.0000 0.0000 0.5000  2 Pd 3.04
Pd 0.0000 0.0000 0.0000  6 Ac 3.04
Sr 0.5000 0.5000 0.5000  12 Ac 4.30
Ac 0.5000 0.0000 0.0000  2 Pd 3.04
Ac 0.0000 0.5000 0.0000  2 Pd 3.04